The following is a PBE calculation of a geometry-optimized InTcHRh2 structure, from Alexandria.

Properties
* magnetization: 0.33 μB per atom
* total energy: -6.21 eV per atom
* space group: P4/mmm (123)
* DOS(E_F): 4.8 states/eV/f.u.

Lattice parameters (Å, degrees): 4.042 4.042 4.010 90.00 90.00 90.00
Positions (direct):
In 0.000 0.000 0.000
Tc 0.500 0.500 0.000
H 0.500 0.500 0.500
Rh 0.000 0.500 0.500
Rh 0.500 0.000 0.500

=====

The following is a PBE calculation of a geometry-optimized LiEuAg4 structure, from Alexandria.

Properties
* magnetization: 1.30 μB per atom
* total energy: -4.11 eV per atom
* ΔH_f (0 K): -0.181 eV per atom
* space group: F-43m (216)
* DOS(E_F): 9.6 states/eV/f.u.

Lattice parameters (Å, degrees): 5.671 5.671 5.671 60.00 60.00 60.00
Positions (direct):
Li 0.000 0.000 0.000
Eu 0.750 0.750 0.750
Ag 0.374 0.374 0.374
Ag 0.374 0.374 0.877
Ag 0.374 0.877 0.374
Ag 0.877 0.374 0.374

=====

The following is a PBE calculation of a geometry-optimized ZnFeTe2 structure, from Alexandria.

Properties
* magnetization: 0.90 μB per atom
* total energy: -3.65 eV per atom
* space group: I-4m2 (119)
* DOS(E_F): 4.6 states/eV/f.u.
* formation energy without anion corrections: 0.36 eV/atom

Lattice parameters (Å, degrees): 8.507 8.507 8.507 154.09 154.09 36.97
Positions (direct):
Zn 0.000 0.000 0.000
Fe 0.250 0.750 0.500
Te 0.500 0.500 0.000
Te 0.750 0.250 0.500